# 1
LaMg2RhSe, relaxed, DFT PBE; raw formation energy = 1.03 eV per atom; E_tot = -13.78 eV for the cell shown; space-group type = P4/mmm; total magnetization = 1.35 μB/f.u.; D(E_F) = 1.70 states/eV per atom
1.0
6.2907 0.0000 0.0000
0.0000 6.2907 0.0000
0.0000 0.0000 5.4507
La Mg Rh Se
1 2 1 1
Direct
0.0000 0.0000 0.0000
0.0000 0.5000 0.0000
0.5000 0.0000 0.0000
0.5000 0.5000 0.5000
0.0000 0.0000 0.5000

---

# 2
Tb2Pm2Er2Tm, relaxed, DFT PBE; E_tot = -31.40 eV for the cell shown; space-group type = R-3m; total magnetization = 0.02 μB/f.u.; D(E_F) = 2.32 states/eV per atom; DFT formation energy = 0.137 eV per atom
1.0
2.8292 1.6334 8.1656
-2.8292 1.6334 8.1656
0.0000 -3.2668 8.1656
Tb Pm Er Tm
2 2 2 1
Direct
0.2136 0.2136 0.2136
0.7864 0.7864 0.7864
0.3615 0.3615 0.3615
0.6385 0.6385 0.6385
0.0718 0.0718 0.0718
0.9282 0.9282 0.9282
0.5000 0.5000 0.5000

---

# 3
Zn2GeBi2, relaxed, DFT PBE; E_tot = -27.11 eV for the cell shown; energy above the lowest structure with this stoichiometry = 65 meV/atom; space-group type = P4/mbm; total magnetization = 0.00 μB/f.u.; D(E_F) = 0.47 states/eV per atom; DFT formation energy = 0.275 eV per atom
1.0
8.5245 0.0000 0.0000
0.0000 8.5245 0.0000
0.0000 0.0000 3.4291
Zn Ge Bi
4 2 4
Direct
0.1062 0.3938 0.0000
0.3938 0.8938 0.0000
0.6062 0.1062 0.0000
0.8938 0.6062 0.0000
0.0000 0.0000 0.5000
0.5000 0.5000 0.5000
0.1965 0.6965 0.5000
0.3035 0.1965 0.5000
0.6965 0.8035 0.5000
0.8035 0.3035 0.5000

---

# 4
Si5Au, relaxed, DFT PBE; raw formation energy = 0.63 eV per atom; E_tot = -26.59 eV for the cell shown; energy above the lowest structure with this stoichiometry = 368 meV/atom; space-group type = F-43m; total magnetization = 0.00 μB/f.u.; D(E_F) = 0.44 states/eV per atom
1.0
0.0000 3.6552 3.6552
3.6552 0.0000 3.6552
3.6552 3.6552 0.0000
Si Au
5 1
Direct
0.0000 0.0000 0.0000
0.1240 0.6253 0.6253
0.6253 0.1240 0.6253
0.6253 0.6253 0.1240
0.6253 0.6253 0.6253
0.2500 0.2500 0.2500

---

# 5
Er4PaP5, relaxed, DFT PBE; E_tot = -70.42 eV for the cell shown; space-group type = I4/m; total magnetization = 0.00 μB/f.u.; D(E_F) = 0.46 states/eV per atom; DFT formation energy = -1.562 eV per atom
1.0
-4.4283 4.4283 2.8040
4.4283 -4.4283 2.8040
4.4283 4.4283 -2.8040
Er Pa P
4 1 5
Direct
0.0994 0.3021 0.4015
0.3021 0.9006 0.2027
0.6979 0.0994 0.7973
0.9006 0.6979 0.5985
0.5000 0.5000 0.0000
0.0000 0.0000 0.0000
0.2035 0.5984 0.8019
0.4016 0.2035 0.6052
0.5984 0.7965 0.3948
0.7965 0.4016 0.1981

---

# 6
LiSc2C, relaxed, DFT PBE; E_tot = -93.58 eV for the cell shown; space-group type = I-42d; total magnetization = 0.00 μB/f.u.; D(E_F) = 0.75 states/eV per atom; DFT formation energy = 0.101 eV per atom
1.0
6.8389 0.0000 0.0000
0.0000 6.8389 0.0000
0.0000 0.0000 6.4154
Li Sc C
4 8 4
Direct
0.0000 0.0000 0.0000
0.0000 0.5000 0.2500
0.5000 0.0000 0.7500
0.5000 0.5000 0.5000
0.1582 0.2500 0.6250
0.2500 0.6582 0.8750
0.2500 0.8418 0.3750
0.3418 0.2500 0.1250
0.6582 0.7500 0.1250
0.7500 0.1582 0.3750
0.7500 0.3418 0.8750
0.8418 0.7500 0.6250
0.0000 0.0000 0.5000
0.0000 0.5000 0.7500
0.5000 0.0000 0.2500
0.5000 0.5000 0.0000

---

# 7
CdGeTeN2, relaxed, DFT PBE; raw formation energy = 1.65 eV per atom; E_tot = -17.08 eV for the cell shown; energy above the lowest structure with this stoichiometry = 526 meV/atom; space-group type = P4/mmm; total magnetization = 3.51 μB/f.u.; D(E_F) = 0.49 states/eV per atom
1.0
4.3226 0.0000 0.0000
0.0000 4.3226 0.0000
0.0000 0.0000 6.2547
Cd Ge Te N
1 1 1 2
Direct
0.0000 0.0000 0.0000
0.5000 0.5000 0.5000
0.0000 0.0000 0.5000
0.0000 0.5000 0.0000
0.5000 0.0000 0.0000

---

# 8
MgAu4Cl, relaxed, DFT PBE; raw formation energy = -0.15 eV per atom; E_tot = -17.43 eV for the cell shown; space-group type = F-43m; total magnetization = 0.00 μB/f.u.; D(E_F) = 0.52 states/eV per atom
1.0
0.0000 3.9416 3.9416
3.9416 0.0000 3.9416
3.9416 3.9416 0.0000
Mg Au Cl
1 4 1
Direct
0.0000 0.0000 0.0000
0.1250 0.6250 0.6250
0.6250 0.1250 0.6250
0.6250 0.6250 0.1250
0.6250 0.6250 0.6250
0.2500 0.2500 0.2500

---

# 9
KCdAsBr6, relaxed, DFT PBE; raw formation energy = -0.86 eV per atom; E_tot = -24.40 eV for the cell shown; space-group type = P312; total magnetization = 0.00 μB/f.u.; D(E_F) = 0.00 states/eV per atom
1.0
7.1245 0.0000 0.0000
-3.5623 6.1700 0.0000
0.0000 0.0000 7.3037
K Cd As Br
1 1 1 6
Direct
0.0000 0.0000 0.0000
0.3333 0.6667 0.5000
0.6667 0.3333 0.5000
0.3779 0.0135 0.7157
0.3779 0.3644 0.2843
0.6356 0.0135 0.2843
0.6356 0.6221 0.7157
0.9865 0.3644 0.7157
0.9865 0.6221 0.2843

---

# 10
GdPa2B, relaxed, DFT PBE; E_tot = -117.27 eV for the cell shown; space-group type = R-3m; total magnetization = 7.41 μB/f.u.; D(E_F) = 1.63 states/eV per atom; DFT formation energy = 0.165 eV per atom
1.0
3.4243 0.0000 0.0000
-1.7121 2.9655 0.0000
0.0000 0.0000 28.2241
Gd Pa B
3 6 3
Direct
0.0000 0.0000 0.0000
0.3333 0.6667 0.6667
0.6667 0.3333 0.3333
0.0000 0.0000 0.1134
0.0000 0.0000 0.8866
0.3333 0.6667 0.5533
0.3333 0.6667 0.7801
0.6667 0.3333 0.2199
0.6667 0.3333 0.4467
0.0000 0.0000 0.5000
0.3333 0.6667 0.1667
0.6667 0.3333 0.8333

---

# 11
ReSbP2, relaxed, DFT PBE; raw formation energy = 0.19 eV per atom; E_tot = -26.62 eV for the cell shown; space-group type = Pm; total magnetization = 0.00 μB/f.u.; D(E_F) = 0.52 states/eV per atom
1.0
3.9210 0.0000 0.0000
0.0000 3.0973 0.0000
-0.4402 0.0000 6.8726
Re Sb P
1 1 2
Direct
0.0000 0.0000 0.0000
0.4853 0.5000 0.7594
0.5101 0.0000 0.1906
0.8974 0.5000 0.2769

---

# 12
Sm6NiRh2Br3, relaxed, DFT PBE; raw formation energy = -0.99 eV per atom; E_tot = -65.74 eV for the cell shown; space-group type = C2/m; total magnetization = 0.00 μB/f.u.; D(E_F) = 0.49 states/eV per atom
1.0
3.5184 -6.0946 0.0000
3.5184 6.0946 0.0000
-2.3453 0.0000 7.7373
Sm Ni Rh Br
6 1 2 3
Direct
0.0645 0.3942 0.1938
0.2649 0.2649 0.8060
0.3942 0.0645 0.1938
0.6058 0.9355 0.8062
0.7351 0.7351 0.1940
0.9355 0.6058 0.8062
0.0000 0.0000 0.0000
0.3334 0.6666 0.0000
0.6666 0.3334 0.0000
0.1661 0.8339 0.5000
0.5000 0.5000 0.5000
0.8339 0.1661 0.5000

---

Q: What is the formula in the third record?
A: Zn2GeBi2

---

Q: Look up the D(E_F) of the third one.
A: 0.47 states/eV per atom

---

Repeat the eighth record exactly.
MgAu4Cl, relaxed, DFT PBE; raw formation energy = -0.15 eV per atom; E_tot = -17.43 eV for the cell shown; space-group type = F-43m; total magnetization = 0.00 μB/f.u.; D(E_F) = 0.52 states/eV per atom
1.0
0.0000 3.9416 3.9416
3.9416 0.0000 3.9416
3.9416 3.9416 0.0000
Mg Au Cl
1 4 1
Direct
0.0000 0.0000 0.0000
0.1250 0.6250 0.6250
0.6250 0.1250 0.6250
0.6250 0.6250 0.1250
0.6250 0.6250 0.6250
0.2500 0.2500 0.2500